No. 1
# PBE SnSO2, relaxed
data_SnSO2
_cell_length_a 5.9364
_cell_length_b 5.9364
_cell_length_c 8.7676
_cell_angle_alpha 90.00
_cell_angle_beta 90.00
_cell_angle_gamma 90.00
_space_group_name_H-M_alt 'I -4 2 d'
_space_group_IT_number 122
_space_group_name_Hall 'I -4 2bw'
loop_
_atom_site_label
_atom_site_type_symbol
_atom_site_fract_x
_atom_site_fract_y
_atom_site_fract_z
Sn1 Sn 0.0000 0.0000 0.0000
S1 S 0.0000 0.0000 0.5000
O1 O 0.1204 0.2500 0.1250
# Calculated total energy in eV per atom: -4.803
# Formation energy (no corrections) in meV per atom: -292
# D(E_F) in states/eV/atom: 0.06
# Polymorph energy (0 for the lowest one) in eV per atom: 0.195
# Crystal system: tetragonal

No. 2
# PBE Sn2SO, relaxed
data_Sn2SO
_cell_length_a 6.0135
_cell_length_b 6.2690
_cell_length_c 11.6376
_cell_angle_alpha 90.00
_cell_angle_beta 117.68
_cell_angle_gamma 90.00
_space_group_name_H-M_alt 'P 1 2/c 1'
_space_group_IT_number 13
loop_
_space_group_symop_operation_xyz
'x,y,z'
'-x,-y,-z'
'-x,y,-z+1/2'
'x,-y,z+1/2'
loop_
_atom_site_label
_atom_site_type_symbol
_atom_site_fract_x
_atom_site_fract_y
_atom_site_fract_z
Sn1 Sn 0.0822 0.2390 0.0848
Sn2 Sn 0.3164 0.1854 0.8514
S1 S 0.4463 0.2129 0.3793
O1 O 0.0034 0.0913 0.6143
# Calculated total energy in eV per atom: -5.044
# Formation energy (no corrections) in meV per atom: -771
# Polymorph energy (0 for the lowest one) in eV per atom: 0.000
# Crystal system: monoclinic

No. 3
# PBE SrSnS2O8, relaxed
data_SrSnS2O8
_cell_length_a 5.3596
_cell_length_b 5.3596
_cell_length_c 7.8469
_cell_angle_alpha 90.00
_cell_angle_beta 90.00
_cell_angle_gamma 120.00
_space_group_name_H-M_alt 'P -3'
_space_group_IT_number 147
loop_
_space_group_symop_operation_xyz
'x,y,z'
'-x,-y,-z'
'-y,x-y,z'
'y,-x+y,-z'
'-x+y,-x,z'
'x-y,x,-z'
loop_
_atom_site_label
_atom_site_type_symbol
_atom_site_fract_x
_atom_site_fract_y
_atom_site_fract_z
Sr1 Sr 0.0000 0.0000 0.0000
Sn1 Sn 0.0000 0.0000 0.5000
S1 S 0.3333 0.6667 0.7963
O1 O 0.1718 0.3623 0.7333
O2 O 0.3333 0.6667 0.9849
# Calculated total energy in eV per atom: -6.217
# Formation energy (no corrections) in meV per atom: -1750
# D(E_F) in states/eV/atom: 0.00
# Crystal system: trigonal

No. 4
# PBE TbSnS2O, relaxed
data_TbSnS2O
_cell_length_a 3.8166
_cell_length_b 3.8166
_cell_length_c 14.4018
_cell_angle_alpha 90.00
_cell_angle_beta 90.00
_cell_angle_gamma 90.00
_space_group_name_H-M_alt 'P 4/n m m'
_space_group_IT_number 129
loop_
_space_group_symop_operation_xyz
'x,y,z'
'-x,-y,-z'
'-y+1/2,x,z'
'y+1/2,-x,-z'
'-x+1/2,-y+1/2,z'
'x+1/2,y+1/2,-z'
'y,-x+1/2,z'
'-y,x+1/2,-z'
'x+1/2,-y,-z'
'-x+1/2,y,z'
'-y,-x,-z'
'y,x,z'
'-x,y+1/2,-z'
'x,-y+1/2,z'
'y+1/2,x+1/2,-z'
'-y+1/2,-x+1/2,z'
loop_
_atom_site_label
_atom_site_type_symbol
_atom_site_fract_x
_atom_site_fract_y
_atom_site_fract_z
Tb1 Tb 0.2500 0.2500 0.0820
Sn1 Sn 0.2500 0.2500 0.6459
S1 S 0.2500 0.2500 0.3941
S2 S 0.2500 0.2500 0.8150
O1 O 0.2500 0.7500 0.0000
# Calculated total energy in eV per atom: -6.103
# Formation energy (no corrections) in meV per atom: -1734
# D(E_F) in states/eV/atom: 0.13
# Crystal system: tetragonal

No. 5
# PBE Tm3SnSO, relaxed
data_Tm3SnSO
_cell_length_a 8.5287
_cell_length_b 3.8350
_cell_length_c 8.7372
_cell_angle_alpha 90.00
_cell_angle_beta 103.85
_cell_angle_gamma 90.00
_space_group_name_H-M_alt 'P 1 21/m 1'
_space_group_IT_number 11
loop_
_space_group_symop_operation_xyz
'x,y,z'
'-x,-y,-z'
'-x,y+1/2,-z'
'x,-y+1/2,z'
loop_
_atom_site_label
_atom_site_type_symbol
_atom_site_fract_x
_atom_site_fract_y
_atom_site_fract_z
Tm1 Tm 0.0665 0.2500 0.3414
Tm2 Tm 0.3320 0.2500 0.9793
Tm3 Tm 0.3893 0.7500 0.6422
Sn1 Sn 0.3136 0.7500 0.2716
S1 S 0.1593 0.2500 0.6591
O1 O 0.4105 0.7500 0.9008
# Calculated total energy in eV per atom: -6.264
# Formation energy (no corrections) in meV per atom: -1847
# D(E_F) in states/eV/atom: 0.30
# Crystal system: monoclinic

No. 6
# PBE Y2SnSO, relaxed
data_Y2SnSO
_cell_length_a 5.7025
_cell_length_b 5.7025
_cell_length_c 4.8901
_cell_angle_alpha 90.00
_cell_angle_beta 90.00
_cell_angle_gamma 90.00
_space_group_name_H-M_alt 'P 4/m m m'
_space_group_IT_number 123
_space_group_name_Hall '-P 4 2'
loop_
_atom_site_label
_atom_site_type_symbol
_atom_site_fract_x
_atom_site_fract_y
_atom_site_fract_z
Y1 Y 0.0000 0.5000 0.0000
Sn1 Sn 0.0000 0.0000 0.0000
S1 S 0.0000 0.0000 0.5000
O1 O 0.5000 0.5000 0.5000
# Calculated total energy in eV per atom: -4.887
# Formation energy (no corrections) in meV per atom: 316
# D(E_F) in states/eV/atom: 0.32
# Crystal system: tetragonal

No. 7
# PBE ZnSnS2O8, relaxed
data_ZnSnS2O8
_cell_length_a 4.8471
_cell_length_b 4.8471
_cell_length_c 21.7983
_cell_angle_alpha 90.00
_cell_angle_beta 90.00
_cell_angle_gamma 120.00
_space_group_name_H-M_alt 'R -3'
_space_group_IT_number 148
_space_group_name_Hall '-R 3'
loop_
_atom_site_label
_atom_site_type_symbol
_atom_site_fract_x
_atom_site_fract_y
_atom_site_fract_z
Zn1 Zn 0.0000 0.0000 0.0000
Sn1 Sn 0.0000 0.0000 0.5000
S1 S 0.0000 0.0000 0.2536
O1 O 0.0000 0.0000 0.1846
O2 O 0.0090 0.2973 0.7257
# Calculated total energy in eV per atom: -5.775
# Formation energy (no corrections) in meV per atom: -1342
# D(E_F) in states/eV/atom: 0.00
# Crystal system: trigonal

No. 8
# PBE Sr4SO3, relaxed
data_Sr4SO3
_cell_length_a 5.4896
_cell_length_b 5.4896
_cell_length_c 5.4896
_cell_angle_alpha 90.00
_cell_angle_beta 90.00
_cell_angle_gamma 90.00
_space_group_name_H-M_alt 'P m -3 m'
_space_group_IT_number 221
_space_group_name_Hall '-P 4 2 3'
loop_
_atom_site_label
_atom_site_type_symbol
_atom_site_fract_x
_atom_site_fract_y
_atom_site_fract_z
Sr1 Sr 0.0000 0.0000 0.0000
Sr2 Sr 0.0000 0.5000 0.5000
S1 S 0.5000 0.5000 0.5000
O1 O 0.0000 0.0000 0.5000
# Calculated total energy in eV per atom: -5.603
# Formation energy (no corrections) in meV per atom: -2387
# D(E_F) in states/eV/atom: 0.00
# Crystal system: cubic

No. 9
# PBE SrSO2, relaxed
data_SrSO2
_cell_length_a 3.8894
_cell_length_b 3.8894
_cell_length_c 17.2908
_cell_angle_alpha 90.00
_cell_angle_beta 90.00
_cell_angle_gamma 120.00
_space_group_name_H-M_alt 'R -3 m'
_space_group_IT_number 166
_space_group_name_Hall '-R 3 2"'
loop_
_atom_site_label
_atom_site_type_symbol
_atom_site_fract_x
_atom_site_fract_y
_atom_site_fract_z
Sr1 Sr 0.0000 0.0000 0.0000
S1 S 0.0000 0.0000 0.5000
O1 O 0.0000 0.0000 0.3993
# Calculated total energy in eV per atom: -5.363
# Formation energy (no corrections) in meV per atom: -1432
# D(E_F) in states/eV/atom: 0.22
# Crystal system: trigonal

No. 10
# PBE SrS2O8, relaxed
data_SrS2O8
_cell_length_a 10.2415
_cell_length_b 5.3682
_cell_length_c 6.2581
_cell_angle_alpha 90.00
_cell_angle_beta 114.28
_cell_angle_gamma 90.00
_space_group_name_H-M_alt 'C 1 2/m 1'
_space_group_IT_number 12
loop_
_space_group_symop_operation_xyz
'x,y,z'
'-x,-y,-z'
'-x,y,-z'
'x,-y,z'
'x+1/2,y+1/2,z'
'-x+1/2,-y+1/2,-z'
'-x+1/2,y+1/2,-z'
'x+1/2,-y+1/2,z'
loop_
_atom_site_label
_atom_site_type_symbol
_atom_site_fract_x
_atom_site_fract_y
_atom_site_fract_z
Sr1 Sr 0.0000 0.0000 0.0000
S1 S 0.2166 0.0000 0.7083
O1 O 0.1268 0.5000 0.2034
O2 O 0.1448 0.0000 0.4504
O3 O 0.1663 0.2268 0.7948
# Calculated total energy in eV per atom: -5.960
# Formation energy (no corrections) in meV per atom: -1450
# D(E_F) in states/eV/atom: 0.22
# Crystal system: monoclinic

No. 11
# PBE SrS2O6, relaxed
data_SrS2O6
_cell_length_a 5.9891
_cell_length_b 5.9891
_cell_length_c 17.8671
_cell_angle_alpha 90.00
_cell_angle_beta 90.00
_cell_angle_gamma 120.00
_space_group_name_H-M_alt 'R 3'
_space_group_IT_number 146
_space_group_name_Hall 'R 3'
loop_
_atom_site_label
_atom_site_type_symbol
_atom_site_fract_x
_atom_site_fract_y
_atom_site_fract_z
Sr1 Sr 0.0000 0.0000 0.0000
S1 S 0.0000 0.0000 0.2719
S2 S 0.0000 0.0000 0.3952
O1 O 0.1517 0.3971 0.0817
O2 O 0.1534 0.7566 0.9186
# Calculated total energy in eV per atom: -6.170
# Formation energy (no corrections) in meV per atom: -1760
# D(E_F) in states/eV/atom: 0.00
# Crystal system: trigonal

No. 12
# PBE SrSO6, relaxed
data_SrSO6
_cell_length_a 6.9874
_cell_length_b 6.9874
_cell_length_c 6.8755
_cell_angle_alpha 90.00
_cell_angle_beta 90.00
_cell_angle_gamma 120.00
_space_group_name_H-M_alt 'R -3 m'
_space_group_IT_number 166
_space_group_name_Hall '-R 3 2"'
loop_
_atom_site_label
_atom_site_type_symbol
_atom_site_fract_x
_atom_site_fract_y
_atom_site_fract_z
Sr1 Sr 0.0000 0.0000 0.0000
S1 S 0.0000 0.0000 0.5000
O1 O 0.1075 0.2150 0.6423
# Calculated total energy in eV per atom: -5.304
# Formation energy (no corrections) in meV per atom: -860
# D(E_F) in states/eV/atom: 0.34
# Crystal system: trigonal